(1)
The following is a PBE-GGA calculation of a relaxed Tb2CdIn2 crystal, from Alexandria via LeMat-Bulk.

The space group is P4/mbm (No. 127) and the conventional cell measures 7.4864, 7.4864 and 4.7818 Å, with angles of 90.00, 90.00 and 90.00 degrees. The asymmetric unit holds Tb at (0.1672, 0.3328, 0.0000), Cd at (0.0000, 0.0000, 0.5000) and In at (0.1371, 0.6371, 0.5000).

The formation energy from the elements is -0.40 eV/atom. As for the mass density: 8.2 g/cm3. The volume is 134.00 Å³/f.u. The total energy is -3.53 eV/atom.



(2)
The following is a PBE-GGA calculation of a relaxed Tb3CdIn crystal, from Alexandria via LeMat-Bulk.

The space group is Cmcm (No. 63) and the conventional cell measures 5.1420, 21.2579 and 5.1395 Å, with angles of 90.00, 90.00 and 90.00 degrees. The asymmetric unit holds Tb at (0.0000, 0.0587, 0.2500), Tb at (0.0000, 0.2500, 0.2500), Tb at (0.0000, 0.4409, 0.2500), Cd at (0.0000, 0.1541, 0.7500) and In at (0.0000, 0.3444, 0.7500).

Its energy above the most stable polymorph in this dataset is 0 meV per atom. The formation energy from the elements is -0.31 eV/atom. As for the mass density: 8.3 g/cm3. The volume is 140.45 Å³/f.u. The total energy is -3.82 eV/atom.



Question: What is the formula in the first record?
Answer: Tb2CdIn2